Record 1
Sm2CuSb: relaxed, PBE.

Values from the calculation:
Crystal system   monoclinic
Calculated density   7.7 Mg/m³
Fermi-level density of states   4.1 states/eV/f.u.
Total energy   -5.059 eV/atom
E_form (uncorrected)   -0.6447 eV/atom

a = 6.1836 Å, b = 4.2085 Å, c = 8.5744 Å
α = 90.00°, β = 110.82°, γ = 90.00°
Closest atoms and distances in Å follow each position.
Space group P2_1/m (No. 11)
Inequivalent atoms, fractional coordinates:
Sm1 0.2115 0.2500 0.4469  3 Cu 3.00-3.31, 3 Sb 3.22-3.28
Sm2 0.2141 0.2500 0.9059  2 Cu 3.01, 4 Sb 3.19-3.25
Cu1 0.3606 0.7500 0.7128  2 Sb 2.74, 4 Sm 3.00-3.01
Sb1 0.3364 0.7500 0.2067  2 Cu 2.74

***

Record 2
Sm5Cu2Sb: relaxed, PBE.

Values from the calculation:
Crystal system   tetragonal
Calculated density   7.7 Mg/m³
Fermi-level density of states   8.0 states/eV/f.u.
Total energy   -4.883 eV/atom
E_form (uncorrected)   -0.3939 eV/atom

a = 8.0985 Å, b = 8.0985 Å, c = 13.0855 Å
α = 90.00°, β = 90.00°, γ = 90.00°
Closest atoms and distances in Å follow each position.
Space group I4/mcm (No. 140)
Inequivalent atoms, fractional coordinates:
Sm1 0.0000 0.0000 0.0000  4 Cu 3.17, 2 Sb 3.27
Sm2 0.1544 0.3456 0.1423  3 Cu 2.97-3.09
Cu1 0.1306 0.3694 0.5000  8 Sm 2.97-3.17, 1 Cu 2.99
Sb1 0.0000 0.0000 0.2500  10 Sm 3.27-3.37